Entry 1:
VASP calculation (PBE-GGA) on a relaxed LaTb2Nd crystal.

Its symmetry is No. 225. Its size of the total moment is 0.00 μB per cell. As for the formation energy: 0.11 eV per atom. The value obtained for the polymorph energy (0 for the lowest one) is 0.0981 eV/atom.

Lattice parameters (Å, degrees): 5.788 5.788 5.788 60.00 60.00 60.00
Element x y z (fractional)
1 Nd 0.000 0.000 0.000
2 Tb 0.750 0.750 0.750
3 Tb 0.250 0.250 0.250
4 La 0.500 0.500 0.500

Entry 2:
VASP calculation (PBE-GGA) on a relaxed NdMn2H8 crystal.

The value obtained for the uncorrected energy is -0.3445 Ry/atom. Its symmetry is No. 12. Its size of the total moment is 3.40 μB per cell.

Lattice parameters (Å, degrees): 3.693 4.827 4.827 116.84 90.14 90.14
Site moments in Bohr magnetons follow the coordinates.
Element x y z (fractional)
1 H 0.998 0.681 0.972  -0.02
2 H 0.002 0.319 0.028  -0.02
3 H 0.760 0.494 0.494  -0.02
4 H 0.500 0.700 0.300  -0.02
5 H 0.500 0.300 0.700  -0.02
6 H 0.998 0.972 0.681  -0.02
7 H 0.002 0.028 0.319  -0.02
8 H 0.240 0.506 0.506  -0.02
9 Mn 0.000 0.325 0.675  1.78
10 Mn 0.000 0.675 0.325  1.78
11 Nd 0.500 0.000 0.000  -0.02

Entry 3:
VASP calculation (PBE-GGA) on a relaxed Sm2MgGe crystal.

Its symmetry is No. 166. Its size of the total moment is 0.00 μB per cell. As for the formation energy: -0.02 eV per atom.

Lattice parameters (Å, degrees): 3.758 3.758 10.925 80.10 80.10 60.00
Element x y z (fractional)
1 Sm 0.893 0.893 0.321
2 Sm 0.107 0.107 0.679
3 Mg 0.000 0.000 0.000
4 Ge 0.500 0.500 0.500

Entry 4:
VASP calculation (PBE-GGA) on a relaxed Na3ClF2 crystal.

Its symmetry is No. 15. Its size of the total moment is 0.00 μB per cell. Its raw formation energy is -2351 meV/atom.

Lattice parameters (Å, degrees): 5.238 6.212 7.053 106.50 90.00 114.93
Element x y z (fractional)
1 Na 0.501 0.000 0.250
2 Na 0.201 0.388 0.597
3 Na 0.799 0.612 0.403
4 Na 0.187 0.388 0.097
5 Na 0.499 0.000 0.750
6 Na 0.813 0.612 0.903
7 Cl 0.999 0.000 0.750
8 Cl 0.001 0.000 0.250
9 F 0.663 0.336 0.584
10 F 0.327 0.664 0.916
11 F 0.673 0.336 0.084
12 F 0.337 0.664 0.416

Entry 5:
VASP calculation (PBE-GGA) on a relaxed RuPt2Rh5 crystal.

Its symmetry is No. 139. Its size of the total moment is 0.00 μB per cell. As for the formation energy: -0.02 eV per atom. The value obtained for the polymorph energy (0 for the lowest one) is 0.0000 eV/atom.

Lattice parameters (Å, degrees): 3.860 3.860 8.247 103.53 103.53 90.00
Element x y z (fractional)
1 Rh 0.500 0.500 0.000
2 Rh 0.380 0.880 0.760
3 Rh 0.620 0.120 0.240
4 Rh 0.120 0.620 0.240
5 Rh 0.880 0.380 0.760
6 Pt 0.749 0.749 0.497
7 Pt 0.251 0.251 0.503
8 Ru 0.000 0.000 0.000

Entry 6:
VASP calculation (PBE-GGA) on a relaxed PrThSc crystal.

Its symmetry is No. 187. Its size of the total moment is 0.00 μB per cell. As for the formation energy: 0.09 eV per atom. The value obtained for the polymorph energy (0 for the lowest one) is 0.0236 eV/atom.

Lattice parameters (Å, degrees): 3.521 3.521 17.267 90.00 90.00 120.00
Element x y z (fractional)
1 Sc 0.667 0.333 0.949
2 Sc 0.333 0.667 0.449
3 Pr 0.333 0.667 0.110
4 Pr 0.333 0.667 0.788
5 Th 0.667 0.333 0.608
6 Th 0.667 0.333 0.291

Entry 7:
VASP calculation (PBE-GGA) on a relaxed Na4Cd2Bi5 crystal.

Its symmetry is No. 10. Its size of the total moment is 0.00 μB per cell. As for the formation energy: -0.19 eV per atom.

Lattice parameters (Å, degrees): 3.392 8.535 11.052 93.37 90.00 90.00
Element x y z (fractional)
1 Na 0.500 0.290 0.439
2 Na 0.500 0.159 0.894
3 Na 0.500 0.841 0.106
4 Na 0.500 0.710 0.561
5 Bi 0.000 0.415 0.703
6 Bi 0.000 0.191 0.176
7 Bi 0.000 0.809 0.824
8 Bi 0.000 0.585 0.297
9 Bi 0.000 0.500 0.000
10 Cd 0.000 0.058 0.625
11 Cd 0.000 0.942 0.375

Entry 8:
VASP calculation (PBE-GGA) on a relaxed ZnCdGa3 crystal.

Its symmetry is No. 221. Its size of the total moment is 0.00 μB per cell. As for the formation energy: 0.56 eV per atom. The value obtained for the polymorph energy (0 for the lowest one) is 0.4958 eV/atom.

Lattice parameters (Å, degrees): 5.197 5.197 5.197 90.00 90.00 90.00
Element x y z (fractional)
1 Ga 0.000 0.000 0.500
2 Ga 0.000 0.500 0.000
3 Ga 0.500 0.000 0.000
4 Zn 0.500 0.500 0.500
5 Cd 0.000 0.000 0.000

Entry 9:
VASP calculation (PBE-GGA) on a relaxed RbRh2C crystal.

Its symmetry is No. 122. Its size of the total moment is 0.00 μB per cell. As for the formation energy: 0.43 eV per atom.

Lattice parameters (Å, degrees): 6.280 6.280 6.247 59.83 59.83 90.00
Element x y z (fractional)
1 Rb 0.750 0.250 0.500
2 Rb 0.000 0.000 0.000
3 Rh 0.401 0.625 0.250
4 Rh 0.349 0.125 0.250
5 Rh 0.875 0.599 0.750
6 Rh 0.375 0.651 0.750
7 C 0.250 0.750 0.500
8 C 0.500 0.500 0.000

Entry 10:
VASP calculation (PBE-GGA) on a relaxed ZrS8 crystal.

Its symmetry is No. 139. Its size of the total moment is 0.00 μB per cell. Its raw formation energy is 315 meV/atom.

Lattice parameters (Å, degrees): 3.927 7.483 7.483 86.05 74.79 74.79
Element x y z (fractional)
1 S 0.604 0.396 0.396
2 S 0.628 0.000 0.743
3 S 0.372 0.257 0.000
4 S 0.000 0.396 0.604
5 S 0.000 0.604 0.396
6 S 0.396 0.604 0.604
7 S 0.372 0.000 0.257
8 S 0.628 0.743 0.000
9 Zr 0.000 0.000 0.000

Entry 11:
VASP calculation (PBE-GGA) on a relaxed CaIn2Sn6 crystal.

Its symmetry is No. 12. Its size of the total moment is 0.00 μB per cell. As for the formation energy: -0.11 eV per atom.

Lattice parameters (Å, degrees): 4.903 6.747 8.743 67.30 82.42 70.02
Element x y z (fractional)
1 Sn 0.685 0.638 0.000
2 Sn 0.315 0.362 0.000
3 Sn 0.163 0.494 0.332
4 Sn 0.837 0.506 0.668
5 Sn 0.837 0.174 0.332
6 Sn 0.163 0.826 0.668
7 In 0.500 0.158 0.683
8 In 0.500 0.842 0.317
9 Ca 0.000 0.000 0.000

Entry 12:
VASP calculation (PBE-GGA) on a relaxed BeBH crystal.

Its symmetry is No. 2. Its size of the total moment is 0.00 μB per cell. The value obtained for the polymorph energy (0 for the lowest one) is 0.0933 eV/atom.

Lattice parameters (Å, degrees): 2.368 2.991 7.653 92.78 90.01 112.48
Element x y z (fractional)
1 H 0.610 0.742 0.832
2 H 0.390 0.258 0.168
3 B 0.141 0.784 0.470
4 B 0.859 0.216 0.530
5 Be 0.870 0.214 0.283
6 Be 0.130 0.786 0.717

Entry 13:
VASP calculation (PBE-GGA) on a relaxed SrPmPr2 crystal.

Its symmetry is No. 225. Its size of the total moment is 0.89 μB per cell. As for the formation energy: 0.20 eV per atom. The value obtained for the polymorph energy (0 for the lowest one) is 0.1299 eV/atom.

Lattice parameters (Å, degrees): 6.035 6.035 6.035 60.00 60.00 60.00
Site moments in Bohr magnetons follow the coordinates.
Element x y z (fractional)
1 Pr 0.250 0.250 0.250  0.12
2 Pr 0.750 0.750 0.750  0.12
3 Pm 0.000 0.000 0.000  0.16
4 Sr 0.500 0.500 0.500  0.02

Entry 14:
VASP calculation (PBE-GGA) on a relaxed Tb2PmUAs4 crystal.

Its symmetry is No. 10. Its size of the total moment is 2.35 μB per cell. As for the formation energy: -1.33 eV per atom.

Lattice parameters (Å, degrees): 4.133 7.183 7.182 109.17 90.00 90.00
Site moments in Bohr magnetons follow the coordinates.
Element x y z (fractional)
1 As 0.500 0.755 0.751  -0.04
2 As 0.000 0.242 0.749  -0.03
3 As 0.500 0.245 0.249  -0.04
4 As 0.000 0.758 0.251  -0.03
5 Tb 0.500 0.000 0.500  0.01
6 Tb 0.000 0.500 0.500  0.03
7 Pm 0.500 0.500 0.000  0.02
8 U 0.000 0.000 0.000  2.17

Entry 15:
VASP calculation (PBE-GGA) on a relaxed Rb2CaIn3Sn4 crystal.

Its symmetry is No. 115. Its size of the total moment is 0.00 μB per cell. As for the formation energy: -0.22 eV per atom.

Lattice parameters (Å, degrees): 5.215 5.215 12.461 90.00 90.00 90.00
Element x y z (fractional)
1 Sn 0.500 0.000 0.639
2 Sn 0.000 0.500 0.361
3 Sn 0.500 0.500 0.000
4 Sn 0.000 0.000 0.000
5 In 0.500 0.000 0.872
6 In 0.000 0.000 0.500
7 In 0.000 0.500 0.128
8 Rb 0.500 0.000 0.241
9 Rb 0.000 0.500 0.759
10 Ca 0.500 0.500 0.500

Entry 16:
VASP calculation (PBE-GGA) on a relaxed NdFeGe crystal.

Its symmetry is No. 187. Its size of the total moment is 1.81 μB per cell. As for the formation energy: -0.35 eV per atom.

Lattice parameters (Å, degrees): 4.214 4.214 4.052 90.00 90.00 120.00
Site moments in Bohr magnetons follow the coordinates.
Element x y z (fractional)
1 Ge 0.333 0.667 0.500  -0.03
2 Nd 0.667 0.333 0.000  -0.10
3 Fe 0.000 0.000 0.500  2.00

Entry 17:
VASP calculation (PBE-GGA) on a relaxed DyBRu4 crystal.

Its symmetry is No. 63. Its size of the total moment is 0.00 μB per cell. As for the formation energy: -0.16 eV per atom.

Lattice parameters (Å, degrees): 4.259 5.874 7.444 90.00 106.62 90.00
Element x y z (fractional)
1 Ru 0.000 0.500 0.000
2 Ru 0.204 0.484 0.409
3 Ru 0.000 0.000 0.000
4 Ru 0.204 0.016 0.409
5 Ru 0.619 0.750 0.239
6 Ru 0.796 0.984 0.591
7 Ru 0.796 0.516 0.591
8 Ru 0.381 0.250 0.761
9 Dy 0.591 0.250 0.181
10 Dy 0.409 0.750 0.819
11 B 0.894 0.250 0.789
12 B 0.106 0.750 0.211

Entry 18:
VASP calculation (PBE-GGA) on a relaxed Er6Ga2GeSe3 crystal.

Its symmetry is No. 12. Its size of the total moment is 0.00 μB per cell. Its raw formation energy is -1237 meV/atom.

Lattice parameters (Å, degrees): 4.068 8.193 9.529 112.40 102.33 90.00
Element x y z (fractional)
1 Ga 0.802 0.572 0.604
2 Ga 0.198 0.428 0.396
3 Er 0.666 0.140 0.332
4 Er 0.334 0.860 0.668
5 Er 0.342 0.357 0.683
6 Er 0.010 0.247 0.020
7 Er 0.990 0.753 0.980
8 Er 0.658 0.643 0.317
9 Se 0.163 0.885 0.326
10 Se 0.837 0.115 0.674
11 Se 0.500 0.500 0.000
12 Ge 0.500 0.000 0.000

Entry 19:
VASP calculation (PBE-GGA) on a relaxed SrFePb2 crystal.

Its symmetry is No. 99. Its size of the total moment is 2.53 μB per cell. As for the formation energy: 0.23 eV per atom.

Lattice parameters (Å, degrees): 3.774 3.774 7.888 90.00 90.00 90.00
Site moments in Bohr magnetons follow the coordinates.
Element x y z (fractional)
1 Pb 0.000 0.000 0.938  -0.07
2 Pb 0.500 0.500 0.212  -0.01
3 Fe 0.500 0.500 0.830  2.69
4 Sr 0.000 0.000 0.520  -0.02

Entry 20:
VASP calculation (PBE-GGA) on a relaxed HfIn2Br2F4 crystal.

Its symmetry is No. 12. Its size of the total moment is 0.00 μB per cell. Its raw formation energy is -2303 meV/atom.

Lattice parameters (Å, degrees): 5.459 7.482 7.482 48.11 93.67 93.67
Element x y z (fractional)
1 Hf 0.500 0.000 0.000
2 In 0.935 0.366 0.366
3 In 0.065 0.634 0.634
4 F 0.258 0.196 0.726
5 F 0.742 0.274 0.804
6 F 0.258 0.726 0.196
7 F 0.742 0.804 0.274
8 Br 0.659 0.819 0.819
9 Br 0.341 0.181 0.181